Entry 1:
VASP calculation (PBE-GGA) on a relaxed CsNa2CaP crystal.

```
CsNa2CaP
1.0
5.995 0.000 0.000
0.000 5.995 0.000
0.000 0.000 5.583
Cs Na Ca P
1 2 1 1
direct
0.000 0.000 0.000
0.000 0.500 0.500
0.500 0.000 0.500
0.500 0.500 0.000
0.500 0.500 0.500
```

Output
Crystal system: tetragonal
ΔE_f in meV per atom: -203
Relative energy among the computed polymorphs in meV per atom: 0
Space-group type: P4/mmm (123)


Entry 2:
VASP calculation (PBE-GGA) on a relaxed TaBeAs crystal.

```
TaBeAs
1.0
0.000 2.847 2.847
2.847 0.000 2.847
2.847 2.847 0.000
Ta Be As
1 1 1
direct
0.000 0.000 0.000
0.750 0.750 0.750
0.500 0.500 0.500
```

Output
Crystal system: cubic
ΔE_f in meV per atom: 585
Relative energy among the computed polymorphs in meV per atom: 611
Space-group type: F-43m (216)


Entry 3:
VASP calculation (PBE-GGA) on a relaxed Be2ReIr crystal.

```
Be2ReIr
1.0
2.624 -3.780 0.000
2.624 3.780 0.000
-1.082 0.000 2.435
Be Re Ir
2 1 1
direct
0.000 0.500 0.000
0.500 0.000 0.000
0.000 0.000 0.500
0.500 0.500 0.500
```

Output
Crystal system: monoclinic
ΔE_f in meV per atom: -48
Relative energy among the computed polymorphs in meV per atom: 275
Space-group type: C2/m (12)


Entry 4:
VASP calculation (PBE-GGA) on a relaxed KSn2AsSe6 crystal.

```
KSn2AsSe6
1.0
7.527 -6.091 0.000
7.527 6.091 0.000
-3.487 0.000 6.823
K Sn As Se
2 4 2 12
direct
0.197 0.803 0.750
0.803 0.197 0.250
0.130 0.328 0.067
0.328 0.130 0.567
0.672 0.870 0.433
0.870 0.672 0.933
0.299 0.701 0.250
0.701 0.299 0.750
0.101 0.147 0.713
0.127 0.550 0.887
0.147 0.101 0.213
0.331 0.484 0.364
0.450 0.873 0.613
0.484 0.331 0.864
0.516 0.669 0.136
0.550 0.127 0.387
0.669 0.516 0.636
0.853 0.899 0.787
0.873 0.450 0.113
0.899 0.853 0.287
```

Output
Raw formation energy in eV/atom: -0.410
Crystal system: monoclinic
Space-group type: C2/c (15)


Entry 5:
VASP calculation (PBE-GGA) on a relaxed Pm4SbAs5 crystal.

```
Pm4SbAs5
1.0
-2.111 2.111 15.021
2.111 -2.111 15.021
2.111 2.111 -15.021
Pm Sb As
4 1 5
direct
0.100 0.100 0.000
0.300 0.300 0.000
0.700 0.700 0.000
0.900 0.900 0.000
0.500 0.500 0.000
0.000 0.000 0.000
0.200 0.200 0.000
0.400 0.400 0.000
0.600 0.600 0.000
0.800 0.800 0.000
```

Output
Raw formation energy in eV/atom: -1.162
Crystal system: tetragonal
Space-group type: I4/mmm (139)


Entry 6:
VASP calculation (PBE-GGA) on a relaxed MgCoCu2 crystal.

```
MgCoCu2
1.0
2.681 0.000 0.000
0.000 3.601 0.000
0.000 0.000 5.429
Mg Co Cu
1 1 2
direct
0.000 0.000 0.000
0.500 0.500 0.265
0.000 0.000 0.492
0.500 0.500 0.727
```

Output
Crystal system: orthorhombic
ΔE_f in meV per atom: 110
Space-group type: Pmm2 (25)


Entry 7:
VASP calculation (PBE-GGA) on a relaxed Hg2SI crystal.

```
Hg2SI
1.0
0.000 3.731 3.731
3.731 0.000 3.731
3.731 3.731 0.000
Hg S I
2 1 1
direct
0.250 0.250 0.250
0.750 0.750 0.750
0.000 0.000 0.000
0.500 0.500 0.500
```

Output
Raw formation energy in eV/atom: 0.394
Crystal system: cubic
Relative energy among the computed polymorphs in meV per atom: 535
Space-group type: Fm-3m (225)


Entry 8:
VASP calculation (PBE-GGA) on a relaxed Y2Er5Sc crystal.

```
Y2Er5Sc
1.0
0.000 5.543 6.175
3.566 0.000 6.175
3.566 5.543 0.000
Y Er Sc
2 5 1
direct
0.246 0.754 0.246
0.754 0.246 0.754
0.251 0.251 0.249
0.335 0.335 0.665
0.337 0.832 0.663
0.751 0.751 0.749
0.832 0.337 0.168
0.834 0.834 0.166
```

Output
Crystal system: orthorhombic
ΔE_f in meV per atom: 12
Relative energy among the computed polymorphs in meV per atom: 0
Space-group type: Fmm2 (42)


Per-record VASP energy, eV per cell: -11.92 -18.47 -28.96 -77.53 -57.99 -16.45 -4.70 -41.97